Below is crystalline TlFe2I4 at its relaxed geometry, with properties calculated at the PBE level.

ΔE_f (raw): -0.1419 eV/atom
Symmetry: I4/m, No. 87

Cell: 4.8644 7.5709 7.5709 Å, 84.08 71.26 71.26°
Site moments in Bohr magnetons follow the coordinates.
Sites, in units of the cell vectors:
I (0.9198, 0.8039, 0.3564)  0.09
I (0.0802, 0.1961, 0.6436)  0.09
I (0.2763, 0.6436, 0.8039)  0.09
I (0.7237, 0.3564, 0.1961)  0.09
Fe (0.2500, 0.5000, 0.5000)  3.07
Tl (0.5000, 0.0000, 0.0000)  0.01
Fe (0.7500, 0.5000, 0.5000)  3.07

---

Below is crystalline SrAl2Pt5 at its relaxed geometry, with properties calculated at the PBE level.

ΔH_f (0 K): -6.895 eV per formula unit
Symmetry: Immm, No. 71

Cell: 3.9494 6.5257 6.5257 Å, 66.73 72.39 72.39°
Sites, in units of the cell vectors:
Pt (0.3519, 0.4514, 0.8449)
Pt (0.3519, 0.8449, 0.4514)
Al (0.7603, 0.7397, 0.7397)
Pt (0.0000, 0.5000, 0.5000)
Pt (0.6481, 0.1551, 0.5486)
Pt (0.6481, 0.5486, 0.1551)
Sr (0.0000, 0.0000, 0.0000)
Al (0.2397, 0.2603, 0.2603)

---

Below is crystalline SiSnSb2I at its relaxed geometry, with properties calculated at the PBE level.

ΔE_f (raw): 1.0394 eV/atom
E above lowest polymorph: 529 meV per atom
Symmetry: P4/mmm, No. 123

Cell: 5.7057 5.7057 5.7686 Å, 90.00 90.00 90.00°
Sites, in units of the cell vectors:
Si (0.5000, 0.5000, 0.5000)
I (0.0000, 0.0000, 0.5000)
Sn (0.0000, 0.0000, 0.0000)
Sb (0.5000, 0.0000, 0.0000)
Sb (0.0000, 0.5000, 0.0000)

---

Q: Number 2 is which compound?
A: SrAl2Pt5